The following is a DFT calculation (PBE-GGA) of H5Pd5Rh after structural relaxation.

Cell and atoms, written as extended XYZ:
```
11
Lattice="4.638 -2.004 0.000 4.638 2.004 0.000 -1.809 0.000 5.536" Properties=species:S:1:pos:R:3 pbc="T T T"
H 0.000 0.000 0.000
H 2.004 0.000 3.823
H 3.011 0.000 0.935
H 4.457 0.000 4.601
H 5.464 0.000 1.713
Pd 0.033 0.000 4.606
Pd 0.957 0.000 1.852
Pd 3.734 0.000 2.768
Pd 6.511 0.000 3.684
Pd 7.435 0.000 0.930
Rh 4.638 0.000 0.000
```

Total magnetization   0.000 μB/atom
Uncorrected energy   -4.6037 eV/atom



The following is a DFT calculation (PBE-GGA) of H8Pd3Rh after structural relaxation.

Cell and atoms, written as extended XYZ:
```
12
Lattice="-2.217 2.217 4.424 2.217 -2.217 4.424 2.217 2.217 -4.424" Properties=species:S:1:pos:R:3 pbc="T T T"
H 1.056 1.056 -1.053
H 1.161 -1.161 3.371
H 1.056 1.056 1.053
H 1.161 -1.161 5.478
H -1.161 1.161 3.371
H 1.161 1.161 3.371
H -1.161 1.161 5.478
H 1.161 1.161 5.478
Pd 2.217 0.000 2.212
Pd 0.000 0.000 4.424
Pd 0.000 2.217 2.212
Rh 0.000 0.000 0.000
```

Total magnetization   0.000 μB/atom
Uncorrected energy   -4.1544 eV/atom



The following is a DFT calculation (PBE-GGA) of H2PdRh after structural relaxation.

Cell and atoms, written as extended XYZ:
```
8
Lattice="-2.137 2.137 4.041 2.137 -2.137 4.041 2.137 2.137 -4.041" Properties=species:S:1:pos:R:3 pbc="T T T"
H 3.205 1.002 -1.010
H 1.002 1.068 1.010
H -1.068 1.135 3.030
H 1.135 1.068 5.051
Pd 2.137 0.000 2.020
Pd 0.000 0.000 4.041
Rh 0.000 0.000 0.000
Rh 0.000 2.137 2.020
```

Total magnetization   0.000 μB/atom
Uncorrected energy   -4.8174 eV/atom
Distance to the lowest polymorph of the same formula   7 kJ/mol of formula units



The following is a DFT calculation (PBE-GGA) of H6Pd2Rh after structural relaxation.

Cell and atoms, written as extended XYZ:
```
9
Lattice="4.835 -1.523 0.000 4.835 1.523 0.000 -3.241 0.000 4.842" Properties=species:S:1:pos:R:3 pbc="T T T"
H -0.476 0.000 1.053
H -0.657 0.000 3.992
H 2.186 0.000 2.239
H 4.243 0.000 2.603
H 7.086 0.000 0.850
H 6.905 0.000 3.789
Pd 1.282 0.000 0.623
Pd 5.147 0.000 4.220
Rh -1.621 0.000 2.421
```

Total magnetization   0.000 μB/atom
Uncorrected energy   -4.1888 eV/atom
Distance to the lowest polymorph of the same formula   0 kJ/mol of formula units



The following is a DFT calculation (PBE-GGA) of HPdRh2 after structural relaxation.

Cell and atoms, written as extended XYZ:
```
4
Lattice="0.000 2.955 2.955 2.955 0.000 2.955 2.955 2.955 0.000" Properties=species:S:1:pos:R:3 pbc="T T T"
H 0.000 0.000 0.000
Pd 2.955 2.955 2.955
Rh 1.477 1.477 1.477
Rh 4.432 4.432 4.432
```

Total magnetization   0.000 μB/atom
Uncorrected energy   -5.1620 eV/atom
Distance to the lowest polymorph of the same formula   224 kJ/mol of formula units



The following is a DFT calculation (PBE-GGA) of H2PdRh after structural relaxation.

Cell and atoms, written as extended XYZ:
```
4
Lattice="0.000 2.641 2.641 2.641 0.000 2.641 2.641 2.641 0.000" Properties=species:S:1:pos:R:3 pbc="T T T"
H 1.321 1.321 1.321
H 3.962 3.962 3.962
Pd 0.000 0.000 0.000
Rh 2.641 2.641 2.641
```

Total magnetization   0.000 μB/atom
Uncorrected energy   -4.3188 eV/atom
Distance to the lowest polymorph of the same formula   199 kJ/mol of formula units



The following is a DFT calculation (PBE-GGA) of H12Pd3Rh5 after structural relaxation.

Cell and atoms, written as extended XYZ:
```
80
Lattice="-5.433 5.433 5.433 5.433 -5.433 5.433 5.433 5.433 -5.433" Properties=species:S:1:pos:R:3 pbc="T T T"
H 1.624 -0.244 0.755
H 6.526 3.471 -2.961
H 5.189 -0.755 1.624
H 8.394 -1.093 1.962
H 7.057 0.244 0.755
H 6.526 -1.962 2.961
H 0.755 1.624 -0.244
H 7.395 2.472 -1.093
H 3.471 2.961 -1.093
H 4.678 1.624 0.244
H -0.244 0.755 1.624
H 2.961 -1.093 3.471
H 5.189 4.678 -1.624
H 2.961 1.093 1.962
H 4.678 -1.624 5.189
H 3.471 -2.961 6.526
H 1.962 2.961 1.093
H 6.188 3.810 0.244
H 1.624 5.189 -0.755
H 6.526 1.962 2.472
H 2.961 6.526 -1.962
H 5.189 0.755 3.810
H 1.093 1.962 2.961
H 1.624 0.244 4.678
H 3.810 5.189 0.755
H 4.340 3.471 2.472
H 0.244 4.678 1.624
H 2.472 -1.093 7.395
H -1.093 3.471 2.961
H 3.810 0.244 6.188
H -0.755 1.624 5.189
H 3.471 2.472 4.340
H 1.962 8.394 -1.093
H 0.755 7.057 0.244
H 2.472 4.340 3.471
H 0.244 0.755 7.057
H 2.472 6.526 1.962
H 5.677 4.678 3.810
H 0.755 3.810 5.189
H 1.962 2.472 6.526
H -1.962 2.961 6.526
H 4.678 3.810 5.677
H -1.093 7.395 2.472
H -1.624 5.189 4.678
H -2.961 6.526 3.471
H 0.244 6.188 3.810
H -1.093 1.962 8.394
H 3.810 5.677 4.678
Pd 2.717 1.358 0.000
Pd 5.433 2.717 -1.358
Pd 1.358 0.000 2.717
Pd 6.791 0.000 2.717
Pd 0.000 2.717 1.358
Pd 2.717 -1.358 5.433
Pd 2.717 6.791 0.000
Pd 5.433 2.717 4.075
Pd -1.358 5.433 2.717
Pd 4.075 5.433 2.717
Pd 0.000 2.717 6.791
Pd 2.717 4.075 5.433
Rh 0.000 0.000 0.000
Rh 2.717 2.717 -2.717
Rh 2.717 -2.717 2.717
Rh 5.433 0.000 0.000
Rh 8.150 1.358 0.000
Rh 5.433 -2.717 4.075
Rh 4.075 5.433 -2.717
Rh 4.075 0.000 2.717
Rh 2.717 4.075 0.000
Rh 5.433 2.717 1.358
Rh -2.717 2.717 2.717
Rh 0.000 5.433 0.000
Rh 0.000 0.000 5.433
Rh 2.717 2.717 2.717
Rh 0.000 2.717 4.075
Rh 2.717 1.358 5.433
Rh 1.358 5.433 2.717
Rh 1.358 0.000 8.150
Rh 0.000 8.150 1.358
Rh -2.717 4.075 5.433
```

Total magnetization   0.000 μB/atom
Uncorrected energy   -4.5604 eV/atom



The following is a DFT calculation (PBE-GGA) of H2PdRh2 after structural relaxation.

Cell and atoms, written as extended XYZ:
```
10
Lattice="5.238 0.000 0.000 0.000 5.238 0.000 0.000 0.000 3.852" Properties=species:S:1:pos:R:3 pbc="T T T"
H 0.939 1.680 0.000
H 1.680 4.299 0.000
H 3.558 0.939 0.000
H 4.299 3.558 0.000
Pd 0.000 0.000 0.000
Pd 2.619 2.619 0.000
Rh 0.959 1.661 1.926
Rh 1.661 4.280 1.926
Rh 3.578 0.959 1.926
Rh 4.280 3.578 1.926
```

Total magnetization   0.000 μB/atom
Uncorrected energy   -5.1644 eV/atom
Distance to the lowest polymorph of the same formula   45 kJ/mol of formula units